(1)
## Zr2MnAu (GGA-PBE)

Data for a relaxed structure of Zr2MnAu.

It has space group C2/m (No. 12), with a = 5.857 Å, b = 3.266 Å, c = 8.274 Å, α = 90.00°, β = 102.14° and γ = 90.00°. Symmetry generates all atoms from Zr at (0.244, 0.000, 0.223), Mn at (0.000, 0.500, 0.000) and Au at (0.000, 0.000, 0.500).

The value obtained for the polymorph energy (0 for the lowest one) is 263 meV/atom. The calculated formation energy is -36 meV per atom. The total energy comes out at -7.422 eV per atom.

(2)
## Li3Ca2MgAs4 (GGA-PBE)

Data for a relaxed structure of Li3Ca2MgAs4.

It has space group P-4m2 (No. 115), with a = 4.277 Å, b = 4.277 Å, c = 10.805 Å, α = 90.00°, β = 90.00° and γ = 90.00°. Symmetry generates all atoms from Li at (0.000, 0.000, 0.000), Li at (0.000, 0.500, 0.627), Ca at (0.000, 0.500, 0.270), Mg at (0.500, 0.500, 0.000), As at (0.000, 0.000, 0.500), As at (0.000, 0.500, 0.852) and As at (0.500, 0.500, 0.500).

The calculated formation energy is -827 meV per atom. The total energy comes out at -3.821 eV per atom.

(3)
## Ta2CdAg (GGA-PBE)

Data for a relaxed structure of Ta2CdAg.

It has space group F-43m (No. 216), with a = 6.721 Å, b = 6.721 Å, c = 6.721 Å, α = 90.00°, β = 90.00° and γ = 90.00°. Symmetry generates all atoms from Ta at (0.000, 0.000, 0.000), Ta at (0.250, 0.250, 0.250), Cd at (0.000, 0.000, 0.500) and Ag at (0.250, 0.250, 0.750).

The calculated formation energy is 609 meV per atom. The total energy comes out at -6.259 eV per atom.

(4)
## CsGaTe4 (GGA-PBE)

Data for a relaxed structure of CsGaTe4.

It has space group C2/m (No. 12), with a = 14.912 Å, b = 7.942 Å, c = 8.197 Å, α = 90.00°, β = 92.63° and γ = 90.00°. Symmetry generates all atoms from Cs at (0.216, 0.000, 0.261), Ga at (0.063, 0.500, 0.303), Te at (0.000, 0.240, 0.500), Te at (0.053, 0.242, 0.866) and Te at (0.227, 0.500, 0.234).

The uncorrected formation energy comes out at -0.334 eV per atom. The value obtained for the polymorph energy (0 for the lowest one) is 85 meV/atom. The total energy comes out at -3.075 eV per atom.

(5)
## Ho3Sn2Pd8 (GGA-PBE)

Data for a relaxed structure of Ho3Sn2Pd8.

It has space group R-3m (No. 166, hexagonal axes), with a = 5.4771 Å, b = 5.4771 Å, c = 30.1090 Å, α = 90.00°, β = 90.00° and γ = 120.00°. Symmetry generates all atoms from Ho at (0.0000, 0.0000, 0.0000), Ho at (0.0000, 0.0000, 0.1920), Sn at (0.0000, 0.0000, 0.3699), Pd at (0.0000, 0.0000, 0.2843) and Pd at (0.0064, 0.5032, 0.7730).

The calculated formation energy is -602 meV per atom. The total energy comes out at -5.470 eV per atom.

(6)
## TbIn4Pd15 (GGA-PBE)

Data for a relaxed structure of TbIn4Pd15.

It has space group P4/mmm (No. 123), with a = 4.077 Å, b = 4.077 Å, c = 20.199 Å, α = 90.00°, β = 90.00° and γ = 90.00°. Symmetry generates all atoms from Tb at (0.000, 0.000, 0.000), In at (0.000, 0.000, 0.204), In at (0.000, 0.000, 0.401), Pd at (0.000, 0.500, 0.104), Pd at (0.000, 0.500, 0.302), Pd at (0.000, 0.500, 0.500), Pd at (0.500, 0.500, 0.000), Pd at (0.500, 0.500, 0.202) and Pd at (0.500, 0.500, 0.401).

The calculated formation energy is -517 meV per atom. The total energy comes out at -5.190 eV per atom.

(7)
## DyLuOsRh (GGA-PBE)

Data for a relaxed structure of DyLuOsRh.

It has space group F-43m (No. 216), with a = 6.759 Å, b = 6.759 Å, c = 6.759 Å, α = 90.00°, β = 90.00° and γ = 90.00°. Symmetry generates all atoms from Dy at (0.000, 0.000, 0.000), Lu at (0.000, 0.000, 0.500), Os at (0.250, 0.250, 0.750) and Rh at (0.250, 0.250, 0.250).

The calculated formation energy is -549 meV per atom. The total energy comes out at -7.475 eV per atom.

(8)
## SiIr3Pt (GGA-PBE)

Data for a relaxed structure of SiIr3Pt.

It has space group Pm-3m (No. 221), with a = 4.796 Å, b = 4.796 Å, c = 4.796 Å, α = 90.00°, β = 90.00° and γ = 90.00°. Symmetry generates all atoms from Si at (0.000, 0.000, 0.000), Ir at (0.000, 0.500, 0.500) and Pt at (0.500, 0.500, 0.500).

The uncorrected formation energy comes out at 2.117 eV per atom. The value obtained for the polymorph energy (0 for the lowest one) is 1247 meV/atom. The total energy comes out at -5.492 eV per atom.

(9)
## TbPrGaIr (GGA-PBE)

Data for a relaxed structure of TbPrGaIr.

It has space group F-43m (No. 216), with a = 7.175 Å, b = 7.175 Å, c = 7.175 Å, α = 90.00°, β = 90.00° and γ = 90.00°. Symmetry generates all atoms from Tb at (0.000, 0.000, 0.000), Pr at (0.000, 0.000, 0.500), Ga at (0.250, 0.250, 0.750) and Ir at (0.250, 0.250, 0.250).

The value obtained for the polymorph energy (0 for the lowest one) is 116 meV/atom. The calculated formation energy is -550 meV per atom. The total energy comes out at -5.875 eV per atom.

(10)
## HgMo2Pt (GGA-PBE)

Data for a relaxed structure of HgMo2Pt.

It has space group P4/mmm (No. 123), with a = 4.948 Å, b = 4.948 Å, c = 2.767 Å, α = 90.00°, β = 90.00° and γ = 90.00°. Symmetry generates all atoms from Hg at (0.000, 0.000, 0.000), Mo at (0.000, 0.500, 0.500) and Pt at (0.500, 0.500, 0.000).

The value obtained for the polymorph energy (0 for the lowest one) is 293 meV/atom. The calculated formation energy is 448 meV per atom. The total energy comes out at -6.554 eV per atom.

(11)
## NdIn4Pt4 (GGA-PBE)

Data for a relaxed structure of NdIn4Pt4.

It has space group P4_2/nmc (No. 137, origin choice 2), with a = 7.072 Å, b = 7.072 Å, c = 8.142 Å, α = 90.00°, β = 90.00° and γ = 90.00°. Symmetry generates all atoms from Nd at (0.250, 0.750, 0.250), In at (0.005, 0.750, 0.626) and Pt at (0.038, 0.250, 0.038).

The calculated formation energy is -516 meV per atom. The total energy comes out at -4.948 eV per atom.

(12)
## Cu2Ag2Ge (GGA-PBE)

Data for a relaxed structure of Cu2Ag2Ge.

It has space group P4/mbm (No. 127), with a = 7.505 Å, b = 7.505 Å, c = 2.911 Å, α = 90.00°, β = 90.00° and γ = 90.00°. Symmetry generates all atoms from Cu at (0.161, 0.339, 0.000), Ag at (0.136, 0.636, 0.500) and Ge at (0.000, 0.000, 0.500).

The value obtained for the polymorph energy (0 for the lowest one) is 107 meV/atom. The calculated formation energy is 241 meV per atom. The total energy comes out at -3.461 eV per atom.

(13)
## HfCIN2 (GGA-PBE)

Data for a relaxed structure of HfCIN2.

It has space group P4/mmm (No. 123), with a = 3.995 Å, b = 3.995 Å, c = 4.124 Å, α = 90.00°, β = 90.00° and γ = 90.00°. Symmetry generates all atoms from Hf at (0.000, 0.000, 0.000), C at (0.500, 0.500, 0.500), I at (0.500, 0.500, 0.000) and N at (0.000, 0.500, 0.500).

The uncorrected formation energy comes out at 2.026 eV per atom. The value obtained for the polymorph energy (0 for the lowest one) is 501 meV/atom. The total energy comes out at -5.449 eV per atom.

(14)
## Dy4HgGeTe2 (GGA-PBE)

Data for a relaxed structure of Dy4HgGeTe2.

It has space group P2/m (No. 10), with a = 7.351 Å, b = 4.222 Å, c = 7.644 Å, α = 90.00°, β = 108.13° and γ = 90.00°. Symmetry generates all atoms from Dy at (0.231, 0.000, 0.227), Dy at (0.244, 0.500, 0.761), Hg at (0.500, 0.000, 0.000), Ge at (0.000, 0.500, 0.000), Te at (0.000, 0.000, 0.500) and Te at (0.500, 0.500, 0.500).

The uncorrected formation energy comes out at -0.990 eV per atom. The total energy comes out at -4.692 eV per atom.

(15)
## Ac2CuSi3Ni12 (GGA-PBE)

Data for a relaxed structure of Ac2CuSi3Ni12.

It has space group R-3m (No. 166, hexagonal axes), with a = 7.8134 Å, b = 7.8134 Å, c = 16.7318 Å, α = 90.00°, β = 90.00° and γ = 120.00°. Symmetry generates all atoms from Ac at (0.0000, 0.0000, 0.1192), Cu at (0.0000, 0.0000, 0.5000), Si at (0.0000, 0.5000, 0.0000), Ni at (0.0087, 0.5043, 0.1288) and Ni at (0.0351, 0.5175, 0.3688).

The uncorrected formation energy comes out at 0.106 eV per atom. The total energy comes out at -5.336 eV per atom.

(16)
## K3SrCu (GGA-PBE)

Data for a relaxed structure of K3SrCu.

It has space group Pm-3m (No. 221), with a = 6.548 Å, b = 6.548 Å, c = 6.548 Å, α = 90.00°, β = 90.00° and γ = 90.00°. Symmetry generates all atoms from K at (0.000, 0.000, 0.500), Sr at (0.500, 0.500, 0.500) and Cu at (0.000, 0.000, 0.000).

The value obtained for the polymorph energy (0 for the lowest one) is 0 meV/atom. The calculated formation energy is 312 meV per atom. The total energy comes out at -1.502 eV per atom.

(17)
## Ba2Cu2Ag (GGA-PBE)

Data for a relaxed structure of Ba2Cu2Ag.

It has space group I4/mmm (No. 139), with a = 3.821 Å, b = 3.821 Å, c = 19.423 Å, α = 90.00°, β = 90.00° and γ = 90.00°. Symmetry generates all atoms from Ba at (0.000, 0.000, 0.112), Cu at (0.000, 0.500, 0.250) and Ag at (0.000, 0.000, 0.500).

The value obtained for the polymorph energy (0 for the lowest one) is 118 meV/atom. The calculated formation energy is 88 meV per atom. The total energy comes out at -2.890 eV per atom.

(18)
## Ba5InAg (GGA-PBE)

Data for a relaxed structure of Ba5InAg.

It has space group C2/c (No. 15), with a = 13.983 Å, b = 8.485 Å, c = 12.918 Å, α = 90.00°, β = 110.69° and γ = 90.00°. Symmetry generates all atoms from Ba at (0.000, 0.045, 0.250), Ba at (0.111, 0.346, 0.013), Ba at (0.226, 0.170, 0.645), In at (0.000, 0.468, 0.250) and Ag at (0.000, 0.000, 0.000).

The calculated formation energy is -108 meV per atom. The total energy comes out at -2.280 eV per atom.